Compound: KOsSe2
Source: Alexandria
Functional: meta-GGA SCAN
Structure: single point on PBEsol structure

Unit cell a=3.1809 b=3.1809 c=7.7540 alpha=90.00 beta=90.00 gamma=90.00
Fractional positions:
K1 0.0000 0.0000 0.0000
Os1 0.0000 0.0000 0.5000
Se1 0.5000 0.5000 0.3101
Se2 0.5000 0.5000 0.6899

Calculated values
- Volume: 19.61 Å³ per atom
- Space-group type: P4/mmm (123)
- Total magnetic moment: 0.03 μB/cell
- Formation energy from raw total energies: 0.1536 eV per atom
- Raw total energy: -29.94 eV/atom